# HoCd2IrO6 | the Alexandria database | PBE | optimized geometry
data_HoCd2IrO6
_symmetry_space_group_name_H-M 'P 1'
_symmetry_Int_Tables_number 1
_cell_length_a 5.624
_cell_length_b 5.704
_cell_length_c 9.834
_cell_angle_alpha 90.00
_cell_angle_beta 124.87
_cell_angle_gamma 90.00
loop_
_symmetry_equiv_pos_as_xyz
'x,y,z'
loop_
_atom_site_label
_atom_site_type_symbol
_atom_site_fract_x
_atom_site_fract_y
_atom_site_fract_z
_atom_site_occupancy
Ho1 Ho 0.000 0.000 0.000 1
Ho2 Ho 0.000 0.500 0.500 1
Cd1 Cd 0.254 0.043 0.748 1
Cd2 Cd 0.254 0.457 0.248 1
Cd3 Cd 0.746 0.543 0.752 1
Cd4 Cd 0.746 0.957 0.252 1
Ir1 Ir 0.500 0.000 0.500 1
Ir2 Ir 0.500 0.500 0.000 1
O1 O 0.158 0.055 0.268 1
O2 O 0.158 0.445 0.768 1
O3 O 0.263 0.678 0.055 1
O4 O 0.263 0.822 0.555 1
O5 O 0.391 0.211 0.062 1
O6 O 0.391 0.289 0.562 1
O7 O 0.609 0.711 0.438 1
O8 O 0.609 0.789 0.938 1
O9 O 0.737 0.178 0.445 1
O10 O 0.737 0.322 0.945 1
O11 O 0.842 0.555 0.232 1
O12 O 0.842 0.945 0.732 1
# Total magnetic moment (μB per formula unit): 2.02
# Calculated total energy (eV/atom): -6.0321
# SG: No. 14
# Formation energy from raw total energies (eV per atom): -1.5303
# Crystal system: monoclinic
# Theoretical density (Mg/m³): 8.7



# Ho4CdIr2Pd | the Alexandria database | PBE | optimized geometry
data_Ho4CdIr2Pd
_symmetry_space_group_name_H-M 'P 1'
_symmetry_Int_Tables_number 1
_cell_length_a 8.554
_cell_length_b 8.554
_cell_length_c 8.554
_cell_angle_alpha 33.65
_cell_angle_beta 33.65
_cell_angle_gamma 33.65
loop_
_symmetry_equiv_pos_as_xyz
'x,y,z'
loop_
_atom_site_label
_atom_site_type_symbol
_atom_site_fract_x
_atom_site_fract_y
_atom_site_fract_z
_atom_site_occupancy
Ho1 Ho 0.121 0.121 0.121 1
Ho2 Ho 0.371 0.371 0.371 1
Ho3 Ho 0.629 0.629 0.629 1
Ho4 Ho 0.879 0.879 0.879 1
Cd1 Cd 0.500 0.500 0.500 1
Ir1 Ir 0.249 0.249 0.249 1
Ir2 Ir 0.751 0.751 0.751 1
Pd1 Pd 0.000 0.000 0.000 1
# Total magnetic moment (μB per formula unit): 0.00
# Calculated total energy (eV/atom): -6.0067
# SG: No. 166
# Crystal system: trigonal
# Theoretical density (Mg/m³): 12.3
# Energy of formation (eV per atom): -0.739



# Ho4CdIrPd2 | the Alexandria database | PBE | optimized geometry
data_Ho4CdIrPd2
_symmetry_space_group_name_H-M 'P 1'
_symmetry_Int_Tables_number 1
_cell_length_a 8.639
_cell_length_b 8.639
_cell_length_c 8.639
_cell_angle_alpha 33.62
_cell_angle_beta 33.62
_cell_angle_gamma 33.62
loop_
_symmetry_equiv_pos_as_xyz
'x,y,z'
loop_
_atom_site_label
_atom_site_type_symbol
_atom_site_fract_x
_atom_site_fract_y
_atom_site_fract_z
_atom_site_occupancy
Ho1 Ho 0.117 0.117 0.117 1
Ho2 Ho 0.368 0.368 0.368 1
Ho3 Ho 0.632 0.632 0.632 1
Ho4 Ho 0.883 0.883 0.883 1
Cd1 Cd 0.500 0.500 0.500 1
Ir1 Ir 0.000 0.000 0.000 1
Pd1 Pd 0.244 0.244 0.244 1
Pd2 Pd 0.756 0.756 0.756 1
# Total magnetic moment (μB per formula unit): 0.00
# Calculated total energy (eV/atom): -5.5711
# SG: No. 166
# Crystal system: trigonal
# Theoretical density (Mg/m³): 11.1
# Energy of formation (eV per atom): -0.762



# PmHoCdIr | the Alexandria database | PBE | optimized geometry
data_PmHoCdIr
_symmetry_space_group_name_H-M 'P 1'
_symmetry_Int_Tables_number 1
_cell_length_a 7.203
_cell_length_b 7.203
_cell_length_c 7.203
_cell_angle_alpha 90.00
_cell_angle_beta 90.00
_cell_angle_gamma 90.00
loop_
_symmetry_equiv_pos_as_xyz
'x,y,z'
loop_
_atom_site_label
_atom_site_type_symbol
_atom_site_fract_x
_atom_site_fract_y
_atom_site_fract_z
_atom_site_occupancy
Pm1 Pm 0.000 0.000 0.000 1
Pm2 Pm 0.000 0.500 0.500 1
Pm3 Pm 0.500 0.000 0.500 1
Pm4 Pm 0.500 0.500 0.000 1
Ho1 Ho 0.000 0.000 0.500 1
Ho2 Ho 0.000 0.500 0.000 1
Ho3 Ho 0.500 0.000 0.000 1
Ho4 Ho 0.500 0.500 0.500 1
Cd1 Cd 0.250 0.250 0.250 1
Cd2 Cd 0.250 0.750 0.750 1
Cd3 Cd 0.750 0.250 0.750 1
Cd4 Cd 0.750 0.750 0.250 1
Ir1 Ir 0.250 0.250 0.750 1
Ir2 Ir 0.250 0.750 0.250 1
Ir3 Ir 0.750 0.250 0.250 1
Ir4 Ir 0.750 0.750 0.750 1
# Total magnetic moment (μB per formula unit): 0.00
# Calculated total energy (eV/atom): -5.2756
# SG: No. 216
# Crystal system: cubic
# Theoretical density (Mg/m³): 10.9
# Energy of formation (eV per atom): -0.499



# PrHoCdIr | the Alexandria database | PBE | optimized geometry
data_PrHoCdIr
_symmetry_space_group_name_H-M 'P 1'
_symmetry_Int_Tables_number 1
_cell_length_a 7.261
_cell_length_b 7.261
_cell_length_c 7.261
_cell_angle_alpha 90.00
_cell_angle_beta 90.00
_cell_angle_gamma 90.00
loop_
_symmetry_equiv_pos_as_xyz
'x,y,z'
loop_
_atom_site_label
_atom_site_type_symbol
_atom_site_fract_x
_atom_site_fract_y
_atom_site_fract_z
_atom_site_occupancy
Pr1 Pr 0.000 0.000 0.000 1
Pr2 Pr 0.000 0.500 0.500 1
Pr3 Pr 0.500 0.000 0.500 1
Pr4 Pr 0.500 0.500 0.000 1
Ho1 Ho 0.000 0.000 0.500 1
Ho2 Ho 0.000 0.500 0.000 1
Ho3 Ho 0.500 0.000 0.000 1
Ho4 Ho 0.500 0.500 0.500 1
Cd1 Cd 0.250 0.250 0.250 1
Cd2 Cd 0.250 0.750 0.750 1
Cd3 Cd 0.750 0.250 0.750 1
Cd4 Cd 0.750 0.750 0.250 1
Ir1 Ir 0.250 0.250 0.750 1
Ir2 Ir 0.250 0.750 0.250 1
Ir3 Ir 0.750 0.250 0.250 1
Ir4 Ir 0.750 0.750 0.750 1
# Total magnetic moment (μB per formula unit): 0.00
# Calculated total energy (eV/atom): -5.2429
# SG: No. 216
# Crystal system: cubic
# Theoretical density (Mg/m³): 10.6
# Energy of formation (eV per atom): -0.460



# HoCdIrPt | the Alexandria database | PBE | optimized geometry
data_HoCdIrPt
_symmetry_space_group_name_H-M 'P 1'
_symmetry_Int_Tables_number 1
_cell_length_a 6.702
_cell_length_b 6.702
_cell_length_c 6.702
_cell_angle_alpha 90.00
_cell_angle_beta 90.00
_cell_angle_gamma 90.00
loop_
_symmetry_equiv_pos_as_xyz
'x,y,z'
loop_
_atom_site_label
_atom_site_type_symbol
_atom_site_fract_x
_atom_site_fract_y
_atom_site_fract_z
_atom_site_occupancy
Ho1 Ho 0.000 0.000 0.000 1
Ho2 Ho 0.000 0.500 0.500 1
Ho3 Ho 0.500 0.000 0.500 1
Ho4 Ho 0.500 0.500 0.000 1
Cd1 Cd 0.000 0.000 0.500 1
Cd2 Cd 0.000 0.500 0.000 1
Cd3 Cd 0.500 0.000 0.000 1
Cd4 Cd 0.500 0.500 0.500 1
Ir1 Ir 0.250 0.250 0.250 1
Ir2 Ir 0.250 0.750 0.750 1
Ir3 Ir 0.750 0.250 0.750 1
Ir4 Ir 0.750 0.750 0.250 1
Pt1 Pt 0.250 0.250 0.750 1
Pt2 Pt 0.250 0.750 0.250 1
Pt3 Pt 0.750 0.250 0.250 1
Pt4 Pt 0.750 0.750 0.750 1
# Total magnetic moment (μB per formula unit): 0.00
# Calculated total energy (eV/atom): -5.6702
# SG: No. 216
# Crystal system: cubic
# Theoretical density (Mg/m³): 14.7
# Energy of formation (eV per atom): -0.572



# HoCdIrRh | the Alexandria database | PBE | optimized geometry
data_HoCdIrRh
_symmetry_space_group_name_H-M 'P 1'
_symmetry_Int_Tables_number 1
_cell_length_a 6.636
_cell_length_b 6.636
_cell_length_c 6.636
_cell_angle_alpha 90.00
_cell_angle_beta 90.00
_cell_angle_gamma 90.00
loop_
_symmetry_equiv_pos_as_xyz
'x,y,z'
loop_
_atom_site_label
_atom_site_type_symbol
_atom_site_fract_x
_atom_site_fract_y
_atom_site_fract_z
_atom_site_occupancy
Ho1 Ho 0.000 0.000 0.000 1
Ho2 Ho 0.000 0.500 0.500 1
Ho3 Ho 0.500 0.000 0.500 1
Ho4 Ho 0.500 0.500 0.000 1
Cd1 Cd 0.000 0.000 0.500 1
Cd2 Cd 0.000 0.500 0.000 1
Cd3 Cd 0.500 0.000 0.000 1
Cd4 Cd 0.500 0.500 0.500 1
Ir1 Ir 0.250 0.250 0.750 1
Ir2 Ir 0.250 0.750 0.250 1
Ir3 Ir 0.750 0.250 0.250 1
Ir4 Ir 0.750 0.750 0.750 1
Rh1 Rh 0.250 0.250 0.250 1
Rh2 Rh 0.250 0.750 0.750 1
Rh3 Rh 0.750 0.250 0.750 1
Rh4 Rh 0.750 0.750 0.250 1
# Total magnetic moment (μB per formula unit): 0.00
# Calculated total energy (eV/atom): -5.8784
# SG: No. 216
# Crystal system: cubic
# Theoretical density (Mg/m³): 13.0
# Energy of formation (eV per atom): -0.452



# Ho4CdIrRh2 | the Alexandria database | PBE | optimized geometry
data_Ho4CdIrRh2
_symmetry_space_group_name_H-M 'P 1'
_symmetry_Int_Tables_number 1
_cell_length_a 8.581
_cell_length_b 8.581
_cell_length_c 8.581
_cell_angle_alpha 33.31
_cell_angle_beta 33.31
_cell_angle_gamma 33.31
loop_
_symmetry_equiv_pos_as_xyz
'x,y,z'
loop_
_atom_site_label
_atom_site_type_symbol
_atom_site_fract_x
_atom_site_fract_y
_atom_site_fract_z
_atom_site_occupancy
Ho1 Ho 0.118 0.118 0.118 1
Ho2 Ho 0.370 0.370 0.370 1
Ho3 Ho 0.630 0.630 0.630 1
Ho4 Ho 0.882 0.882 0.882 1
Cd1 Cd 0.500 0.500 0.500 1
Ir1 Ir 0.000 0.000 0.000 1
Rh1 Rh 0.248 0.248 0.248 1
Rh2 Rh 0.752 0.752 0.752 1
# Total magnetic moment (μB per formula unit): 0.00
# Calculated total energy (eV/atom): -6.0851
# SG: No. 166
# Crystal system: trigonal
# Theoretical density (Mg/m³): 11.5
# Energy of formation (eV per atom): -0.736



# Ho4CdIrRu2 | the Alexandria database | PBE | optimized geometry
data_Ho4CdIrRu2
_symmetry_space_group_name_H-M 'P 1'
_symmetry_Int_Tables_number 1
_cell_length_a 8.520
_cell_length_b 8.520
_cell_length_c 8.520
_cell_angle_alpha 33.39
_cell_angle_beta 33.39
_cell_angle_gamma 33.39
loop_
_symmetry_equiv_pos_as_xyz
'x,y,z'
loop_
_atom_site_label
_atom_site_type_symbol
_atom_site_fract_x
_atom_site_fract_y
_atom_site_fract_z
_atom_site_occupancy
Ho1 Ho 0.119 0.119 0.119 1
Ho2 Ho 0.371 0.371 0.371 1
Ho3 Ho 0.629 0.629 0.629 1
Ho4 Ho 0.881 0.881 0.881 1
Cd1 Cd 0.500 0.500 0.500 1
Ir1 Ir 0.000 0.000 0.000 1
Ru1 Ru 0.249 0.249 0.249 1
Ru2 Ru 0.751 0.751 0.751 1
# Total magnetic moment (μB per formula unit): 0.00
# Calculated total energy (eV/atom): -6.3207
# SG: No. 166
# Crystal system: trigonal
# Theoretical density (Mg/m³): 11.6
# Energy of formation (eV per atom): -0.491



# Ho4CdIr2Ru | the Alexandria database | PBE | optimized geometry
data_Ho4CdIr2Ru
_symmetry_space_group_name_H-M 'P 1'
_symmetry_Int_Tables_number 1
_cell_length_a 8.529
_cell_length_b 8.529
_cell_length_c 8.529
_cell_angle_alpha 33.37
_cell_angle_beta 33.37
_cell_angle_gamma 33.37
loop_
_symmetry_equiv_pos_as_xyz
'x,y,z'
loop_
_atom_site_label
_atom_site_type_symbol
_atom_site_fract_x
_atom_site_fract_y
_atom_site_fract_z
_atom_site_occupancy
Ho1 Ho 0.119 0.119 0.119 1
Ho2 Ho 0.371 0.371 0.371 1
Ho3 Ho 0.629 0.629 0.629 1
Ho4 Ho 0.881 0.881 0.881 1
Cd1 Cd 0.500 0.500 0.500 1
Ir1 Ir 0.249 0.249 0.249 1
Ir2 Ir 0.751 0.751 0.751 1
Ru1 Ru 0.000 0.000 0.000 1
# Total magnetic moment (μB per formula unit): 0.00
# Calculated total energy (eV/atom): -6.4009
# SG: No. 166
# Crystal system: trigonal
# Theoretical density (Mg/m³): 12.5
# Energy of formation (eV per atom): -0.623



no.,N(E_F) (states/eV per cell)
1,6.19
2,5.00
3,5.50
4,10.66
5,10.08
6,7.50
7,8.25
8,3.72
9,4.02
10,3.93